# 1
# PBE-GGA Cs2Hg2PtBr4, optimized geometry
# **Total DFT energy (no corrections)**: -23.037 eV/f.u.
# **V**: 666.67 Å³ per cell
# **Formation energy without anion corrections**: -0.888 eV/atom
data_Cs2Hg2PtBr4
_chemical_formula_sum 'Cs4 Hg4 Pt2 Br8'
_cell_length_a 8.207
_cell_length_b 8.207
_cell_length_c 9.899
_cell_angle_alpha 90.00
_cell_angle_beta 90.00
_cell_angle_gamma 90.00
_space_group_name_H-M_alt 'I 4/m m m'
_space_group_IT_number 139
_space_group_name_Hall '-I 4 2'
loop_
_atom_site_label
_atom_site_type_symbol
_atom_site_fract_x
_atom_site_fract_y
_atom_site_fract_z
Cs1 Cs 0.000 0.500 0.250
Hg1 Hg 0.000 0.000 0.178
Pt1 Pt 0.000 0.000 0.500
Br1 Br 0.215 0.215 0.500

# 2
# PBE-GGA Cs2TaRuCl, optimized geometry
# **Total DFT energy (no corrections)**: -18.015 eV/f.u.
# **V**: 203.72 Å³ per cell
# **D(E_F)**: 1.808 states/eV per atom
# **Formation energy without anion corrections**: 1.334 eV/atom
data_Cs2TaRuCl
_chemical_formula_sum 'Cs2 Ta1 Ru1 Cl1'
_cell_length_a 6.821
_cell_length_b 6.821
_cell_length_c 4.379
_cell_angle_alpha 90.00
_cell_angle_beta 90.00
_cell_angle_gamma 90.00
_space_group_name_H-M_alt 'P 4/m m m'
_space_group_IT_number 123
_space_group_name_Hall '-P 4 2'
loop_
_atom_site_label
_atom_site_type_symbol
_atom_site_fract_x
_atom_site_fract_y
_atom_site_fract_z
Cs1 Cs 0.000 0.500 0.000
Ta1 Ta 0.000 0.000 0.500
Ru1 Ru 0.500 0.500 0.500
Cl1 Cl 0.500 0.500 0.000

# 3
# PBE-GGA LiSmCu, optimized geometry
# **ΔE_f**: -2.020 kcal/mol of atoms
# **Relative energy among the computed polymorphs**: 0.00 eV per formula unit
# **Total DFT energy (no corrections)**: -10.992 eV/f.u.
# **V**: 377.22 Å³ per cell
# **D(E_F)**: 0.771 states/eV per atom
data_LiSmCu
_chemical_formula_sum 'Li6 Sm6 Cu6'
_cell_length_a 4.008
_cell_length_b 12.738
_cell_length_c 7.389
_cell_angle_alpha 90.00
_cell_angle_beta 90.00
_cell_angle_gamma 90.00
_space_group_name_H-M_alt 'A m m 2'
_space_group_IT_number 38
loop_
_space_group_symop_operation_xyz
'x,y,z'
'-x,-y,z'
'-x,y,z'
'x,-y,z'
'x,y+1/2,z+1/2'
'-x,-y+1/2,z+1/2'
'-x,y+1/2,z+1/2'
'x,-y+1/2,z+1/2'
loop_
_atom_site_label
_atom_site_type_symbol
_atom_site_fract_x
_atom_site_fract_y
_atom_site_fract_z
Li1 Li 0.000 0.000 0.000
Li2 Li 0.000 0.116 0.652
Sm1 Sm 0.500 0.000 0.352
Sm2 Sm 0.500 0.207 0.976
Cu1 Cu 0.000 0.167 0.268
Cu2 Cu 0.500 0.000 0.768

# 4
# PBE-GGA K3RhCl6, optimized geometry
# **Total DFT energy (no corrections)**: -36.134 eV/f.u.
# **V**: 1108.25 Å³ per cell
# **Formation energy without anion corrections**: -1.441 eV/atom
data_K3RhCl6
_chemical_formula_sum 'K12 Rh4 Cl24'
_cell_length_a 12.698
_cell_length_b 7.598
_cell_length_c 12.077
_cell_angle_alpha 90.00
_cell_angle_beta 108.00
_cell_angle_gamma 90.00
_space_group_name_H-M_alt 'P 1 21/c 1'
_space_group_IT_number 14
loop_
_space_group_symop_operation_xyz
'x,y,z'
'-x,-y,-z'
'-x,y+1/2,-z+1/2'
'x,-y+1/2,z+1/2'
loop_
_atom_site_label
_atom_site_type_symbol
_atom_site_fract_x
_atom_site_fract_y
_atom_site_fract_z
K1 K 0.094 0.055 0.354
K2 K 0.319 0.070 0.115
K3 K 0.319 0.576 0.268
Rh1 Rh 0.000 0.000 0.000
Rh2 Rh 0.500 0.000 0.500
Cl1 Cl 0.088 0.240 0.598
Cl2 Cl 0.119 0.004 0.882
Cl3 Cl 0.125 0.679 0.643
Cl4 Cl 0.354 0.693 0.005
Cl5 Cl 0.361 0.205 0.399
Cl6 Cl 0.499 0.126 0.680

# 5
# PBE-GGA Ru2PtBr, optimized geometry
# **Relative energy among the computed polymorphs**: 1.09 eV per formula unit
# **Total DFT energy (no corrections)**: -23.411 eV/f.u.
# **V**: 128.54 Å³ per cell
# **D(E_F)**: 1.021 states/eV per atom
# **Formation energy without anion corrections**: 0.714 eV/atom
data_Ru2PtBr
_chemical_formula_sum 'Ru4 Pt2 Br2'
_cell_length_a 9.375
_cell_length_b 2.871
_cell_length_c 4.865
_cell_angle_alpha 90.00
_cell_angle_beta 100.96
_cell_angle_gamma 90.00
_space_group_name_H-M_alt 'C 1 m 1'
_space_group_IT_number 8
loop_
_space_group_symop_operation_xyz
'x,y,z'
'x,-y,z'
'x+1/2,y+1/2,z'
'x+1/2,-y+1/2,z'
loop_
_atom_site_label
_atom_site_type_symbol
_atom_site_fract_x
_atom_site_fract_y
_atom_site_fract_z
Ru1 Ru 0.000 0.000 0.000
Ru2 Ru 0.234 0.500 0.215
Pt1 Pt 0.240 0.000 0.745
Br1 Br 0.461 0.000 0.425

# 6
# PBE-GGA CrWCl2, optimized geometry
# **Relative energy among the computed polymorphs**: 3.24 eV per formula unit
# **Total DFT energy (no corrections)**: -23.683 eV/f.u.
# **V**: 135.99 Å³ per cell
# **D(E_F)**: 0.876 states/eV per atom
# **Formation energy without anion corrections**: 0.647 eV/atom
data_CrWCl2
_chemical_formula_sum 'Cr2 W2 Cl4'
_cell_length_a 5.761
_cell_length_b 8.458
_cell_length_c 3.079
_cell_angle_alpha 90.00
_cell_angle_beta 114.98
_cell_angle_gamma 90.00
_space_group_name_H-M_alt 'C 1 2/m 1'
_space_group_IT_number 12
loop_
_space_group_symop_operation_xyz
'x,y,z'
'-x,-y,-z'
'-x,y,-z'
'x,-y,z'
'x+1/2,y+1/2,z'
'-x+1/2,-y+1/2,-z'
'-x+1/2,y+1/2,-z'
'x+1/2,-y+1/2,z'
loop_
_atom_site_label
_atom_site_type_symbol
_atom_site_fract_x
_atom_site_fract_y
_atom_site_fract_z
Cr1 Cr 0.000 0.000 0.000
W1 W 0.000 0.500 0.000
Cl1 Cl 0.250 0.250 0.000

# 7
# PBE-GGA La3SnN, optimized geometry
# **Total DFT energy (no corrections)**: -31.425 eV/f.u.
# **V**: 298.67 Å³ per cell
# **D(E_F)**: 0.947 states/eV per atom
# **Formation energy without anion corrections**: -0.863 eV/atom
data_La3SnN
_chemical_formula_sum 'La6 Sn2 N2'
_cell_length_a 6.881
_cell_length_b 7.000
_cell_length_c 7.519
_cell_angle_alpha 78.10
_cell_angle_beta 63.24
_cell_angle_gamma 67.58
_space_group_name_H-M_alt 'P -1'
_space_group_IT_number 2
loop_
_space_group_symop_operation_xyz
'x,y,z'
'-x,-y,-z'
loop_
_atom_site_label
_atom_site_type_symbol
_atom_site_fract_x
_atom_site_fract_y
_atom_site_fract_z
La1 La 0.027 0.361 0.230
La2 La 0.367 0.752 0.905
La3 La 0.468 0.772 0.333
Sn1 Sn 0.083 0.144 0.661
N1 N 0.316 0.435 0.946

# 8
# PBE-GGA Ta2RhBr, optimized geometry
# **Relative energy among the computed polymorphs**: 1.52 eV per formula unit
# **Total DFT energy (no corrections)**: -31.147 eV/f.u.
# **V**: 138.55 Å³ per cell
# **D(E_F)**: 0.809 states/eV per atom
# **Formation energy without anion corrections**: 0.396 eV/atom
data_Ta2RhBr
_chemical_formula_sum 'Ta4 Rh2 Br2'
_cell_length_a 5.796
_cell_length_b 8.355
_cell_length_c 2.970
_cell_angle_alpha 90.00
_cell_angle_beta 105.57
_cell_angle_gamma 90.00
_space_group_name_H-M_alt 'C 1 2/m 1'
_space_group_IT_number 12
loop_
_space_group_symop_operation_xyz
'x,y,z'
'-x,-y,-z'
'-x,y,-z'
'x,-y,z'
'x+1/2,y+1/2,z'
'-x+1/2,-y+1/2,-z'
'-x+1/2,y+1/2,-z'
'x+1/2,-y+1/2,z'
loop_
_atom_site_label
_atom_site_type_symbol
_atom_site_fract_x
_atom_site_fract_y
_atom_site_fract_z
Ta1 Ta 0.250 0.250 0.000
Rh1 Rh 0.000 0.000 0.500
Br1 Br 0.000 0.500 0.500

# 9
# PBE-GGA Hf2VCo, optimized geometry
# **ΔE_f**: 10.945 kcal/mol of atoms
# **Relative energy among the computed polymorphs**: 2.46 eV per formula unit
# **Total DFT energy (no corrections)**: -34.233 eV/f.u.
# **V**: 213.77 Å³ per cell
# **D(E_F)**: 1.537 states/eV per atom
data_Hf2VCo
_chemical_formula_sum 'Hf6 V3 Co3'
_cell_length_a 2.9754
_cell_length_b 2.9754
_cell_length_c 27.8818
_cell_angle_alpha 90.00
_cell_angle_beta 90.00
_cell_angle_gamma 120.00
_space_group_name_H-M_alt 'R -3 m'
_space_group_IT_number 166
_space_group_name_Hall '-R 3 2"'
loop_
_atom_site_label
_atom_site_type_symbol
_atom_site_fract_x
_atom_site_fract_y
_atom_site_fract_z
Hf1 Hf 0.0000 0.0000 0.0942
V1 V 0.0000 0.0000 0.0000
Co1 Co 0.0000 0.0000 0.5000

# 10
# PBE-GGA BaCuAg2Pt, optimized geometry
# **ΔE_f**: 9.304 kcal/mol of atoms
# **Total DFT energy (no corrections)**: -15.745 eV/f.u.
# **V**: 136.24 Å³ per cell
# **D(E_F)**: 0.548 states/eV per atom
data_BaCuAg2Pt
_chemical_formula_sum 'Ba1 Cu1 Ag2 Pt1'
_cell_length_a 4.804
_cell_length_b 4.804
_cell_length_c 5.903
_cell_angle_alpha 90.00
_cell_angle_beta 90.00
_cell_angle_gamma 90.00
_space_group_name_H-M_alt 'P 4/m m m'
_space_group_IT_number 123
_space_group_name_Hall '-P 4 2'
loop_
_atom_site_label
_atom_site_type_symbol
_atom_site_fract_x
_atom_site_fract_y
_atom_site_fract_z
Ba1 Ba 0.000 0.000 0.000
Cu1 Cu 0.000 0.000 0.500
Ag1 Ag 0.000 0.500 0.500
Pt1 Pt 0.500 0.500 0.000

# 11
# PBE-GGA NaAgPd2, optimized geometry
# **ΔE_f**: -0.857 kcal/mol of atoms
# **Relative energy among the computed polymorphs**: 0.03 eV per formula unit
# **Total DFT energy (no corrections)**: -14.705 eV/f.u.
# **V**: 138.04 Å³ per cell
# **D(E_F)**: 0.450 states/eV per atom
data_NaAgPd2
_chemical_formula_sum 'Na2 Ag2 Pd4'
_cell_length_a 10.187
_cell_length_b 4.824
_cell_length_c 2.932
_cell_angle_alpha 90.00
_cell_angle_beta 106.64
_cell_angle_gamma 90.00
_space_group_name_H-M_alt 'C 1 2/m 1'
_space_group_IT_number 12
loop_
_space_group_symop_operation_xyz
'x,y,z'
'-x,-y,-z'
'-x,y,-z'
'x,-y,z'
'x+1/2,y+1/2,z'
'-x+1/2,-y+1/2,-z'
'-x+1/2,y+1/2,-z'
'x+1/2,-y+1/2,z'
loop_
_atom_site_label
_atom_site_type_symbol
_atom_site_fract_x
_atom_site_fract_y
_atom_site_fract_z
Na1 Na 0.000 0.000 0.000
Ag1 Ag 0.000 0.500 0.500
Pd1 Pd 0.242 0.500 0.242

# 12
# PBE-GGA Tb4Dy2Er5, optimized geometry
# **ΔE_f**: 3.557 kcal/mol of atoms
# **Relative energy among the computed polymorphs**: 1.06 eV per formula unit
# **Total DFT energy (no corrections)**: -48.843 eV/f.u.
# **V**: 694.28 Å³ per cell
# **D(E_F)**: 1.715 states/eV per atom
data_Tb4Dy2Er5
_chemical_formula_sum 'Tb8 Dy4 Er10'
_cell_length_a 23.548
_cell_length_b 3.451
_cell_length_c 8.610
_cell_angle_alpha 90.00
_cell_angle_beta 97.16
_cell_angle_gamma 90.00
_space_group_name_H-M_alt 'C 1 2/m 1'
_space_group_IT_number 12
loop_
_space_group_symop_operation_xyz
'x,y,z'
'-x,-y,-z'
'-x,y,-z'
'x,-y,z'
'x+1/2,y+1/2,z'
'-x+1/2,-y+1/2,-z'
'-x+1/2,y+1/2,-z'
'x+1/2,-y+1/2,z'
loop_
_atom_site_label
_atom_site_type_symbol
_atom_site_fract_x
_atom_site_fract_y
_atom_site_fract_z
Tb1 Tb 0.046 0.000 0.359
Tb2 Tb 0.177 0.500 0.472
Dy1 Dy 0.091 0.000 0.741
Er1 Er 0.000 0.500 0.000
Er2 Er 0.141 0.000 0.118
Er3 Er 0.232 0.000 0.826